DFT (GGA+U) results for an optimized crystal structure of BeNiPb2O6.

E_tot ... -5.51 eV per atom
Spin magnetization ... 1.99 μB/cell
Symmetry ... R3 (146)
Crystal system ... trigonal

Structure (CIF):
```
data_BeNiPb2O6
_chemical_formula_sum 'Be1 Ni1 Pb2 O6'
_symmetry_space_group_name_H-M 'P 1'
_symmetry_Int_Tables_number 1
_symmetry_space_group_name_Hall 'P 1'
_cell_length_a 5.897
_cell_length_b 5.897
_cell_length_c 5.897
_cell_angle_alpha 53.06
_cell_angle_beta 53.06
_cell_angle_gamma 53.06
loop_
_atom_site_label
_atom_site_fract_x
_atom_site_fract_y
_atom_site_fract_z
Be1 0.000 0.000 0.000
Ni1 0.436 0.436 0.436
Pb1 0.235 0.235 0.235
Pb2 0.746 0.746 0.746
O1 0.052 0.292 0.687
O2 0.170 0.808 0.535
O3 0.292 0.687 0.052
O4 0.535 0.170 0.808
O5 0.687 0.052 0.292
O6 0.808 0.535 0.170
```